# 1
Na3MnCr3Se8 | PBE | relaxed

Values from the calculation:
raw formation energy = -0.74 eV/atom
size of the total moment = 12.00 μB per formula unit
Fermi-level density of states = 0.150 states/eV/atom
total DFT energy (no corrections) = -81.04 eV per cell

Unit cell a=7.4447 b=7.4405 c=8.1721 alpha=117.02 beta=90.00 gamma=120.02
With the nearest neighbours (Å) after each atom.
Element x y z (fractional)
Na  0.0000  0.0000  0.0000  6 Se 3.00-3.01
Na  0.0000  0.5000  0.0000  6 Se 3.00-3.01
Na  0.5000  0.5000  0.0000  6 Se 3.00-3.01
Se  0.7695  0.5390  0.3044  1 Mn 2.53, 2 Cr 2.55
Se  0.2305  0.4610  0.6956  1 Mn 2.53, 2 Cr 2.55
Se  0.2657  0.0351  0.3043  1 Mn 2.53, 2 Cr 2.55
Se  0.2670  0.5340  0.3008  3 Cr 2.56
Se  0.7343  0.9649  0.6957  1 Mn 2.53, 2 Cr 2.55
Se  0.7694  0.0351  0.3043  1 Mn 2.53, 2 Cr 2.55
Se  0.7330  0.4660  0.6992  3 Cr 2.56
Se  0.2306  0.9649  0.6957  1 Mn 2.53, 2 Cr 2.55
Cr  0.5000  0.0000  0.5000  6 Se 2.55-2.56
Cr  0.5000  0.5000  0.5000  6 Se 2.55-2.56
Cr  0.0000  0.5000  0.5000  6 Se 2.55-2.56
Mn  0.0000  0.0000  0.5000  6 Se 2.53

# 2
Na2Mn2CrSe4 | PBE | relaxed

Values from the calculation:
raw formation energy = -0.57 eV/atom
size of the total moment = 11.83 μB per formula unit
Fermi-level density of states = 0.313 states/eV/atom
total DFT energy (no corrections) = -49.66 eV per cell

Unit cell a=3.9238 b=7.3006 c=7.7326 alpha=112.44 beta=104.70 gamma=90.00
With the nearest neighbours (Å) after each atom.
Element x y z (fractional)
Na  0.1307  0.5514  0.2613  7 Se 3.09-3.46
Na  0.8693  0.4486  0.7387  7 Se 3.09-3.46
Mn  0.3212  0.0245  0.6424  4 Se 2.44-2.61
Mn  0.6788  0.9755  0.3576  4 Se 2.44-2.61
Se  0.5057  0.7620  0.0113  1 Mn 2.44, 2 Cr 2.64
Se  0.8012  0.8011  0.6025  3 Mn 2.49-2.61, 1 Cr 2.75
Se  0.1988  0.1989  0.3975  3 Mn 2.49-2.61, 1 Cr 2.75
Se  0.4943  0.2380  0.9887  1 Mn 2.44, 2 Cr 2.64
Cr  0.0000  0.0000  0.0000  6 Se 2.64-2.75

# 3
Na3Mn2CrSe6 | PBE | relaxed

Values from the calculation:
raw formation energy = -0.74 eV/atom
size of the total moment = 11.00 μB per formula unit
Fermi-level density of states = 0.364 states/eV/atom
total DFT energy (no corrections) = -61.73 eV per cell

Unit cell a=6.5706 b=6.5706 c=7.2405 alpha=98.72 beta=98.72 gamma=120.00
With the nearest neighbours (Å) after each atom.
Element x y z (fractional)
Se  0.2601  0.2601  0.7981  1 Cr 2.56, 2 Mn 2.61
Se  0.3955  0.0675  0.2020  1 Cr 2.57, 2 Mn 2.61
Se  0.0675  0.3955  0.2020  1 Cr 2.57, 2 Mn 2.61
Se  0.6045  0.9325  0.7980  1 Cr 2.57, 2 Mn 2.61
Se  0.9325  0.6045  0.7980  1 Cr 2.57, 2 Mn 2.61
Se  0.7399  0.7399  0.2019  1 Cr 2.56, 2 Mn 2.61
Cr  0.0000  0.0000  0.0000  6 Se 2.56-2.57
Na  0.8315  0.1685  0.5000  6 Se 2.99-3.02
Na  0.1685  0.8315  0.5000  6 Se 2.99-3.02
Na  0.5000  0.5000  0.5000  6 Se 2.99-3.03
Mn  0.3337  0.6663  0.0000  6 Se 2.61
Mn  0.6663  0.3337  0.0000  6 Se 2.61

# 4
Na2MnCr2Se6 | PBE | relaxed

Values from the calculation:
raw formation energy = -0.72 eV/atom
size of the total moment = 9.00 μB per formula unit
Fermi-level density of states = 0.039 states/eV/atom
total DFT energy (no corrections) = -59.84 eV per cell

Unit cell a=6.4044 b=6.4044 c=7.3224 alpha=98.32 beta=98.32 gamma=119.94
With the nearest neighbours (Å) after each atom.
Element x y z (fractional)
Na  0.1652  0.8348  0.0000  6 Se 3.00-3.05
Na  0.8348  0.1652  0.0000  6 Se 3.00-3.05
Se  0.7355  0.7355  0.6957  1 Mn 2.52, 2 Cr 2.56
Se  0.6058  0.9350  0.3047  1 Mn 2.52, 2 Cr 2.54-2.55
Se  0.9350  0.6058  0.3047  1 Mn 2.52, 2 Cr 2.54-2.55
Se  0.3942  0.0650  0.6953  1 Mn 2.52, 2 Cr 2.54-2.55
Se  0.0650  0.3942  0.6953  1 Mn 2.52, 2 Cr 2.54-2.55
Se  0.2645  0.2645  0.3043  1 Mn 2.52, 2 Cr 2.56
Cr  0.3322  0.6678  0.5000  6 Se 2.54-2.56
Cr  0.6678  0.3322  0.5000  6 Se 2.54-2.56
Mn  0.0000  0.0000  0.5000  6 Se 2.52

# 5
Na3MnCr2Te6 | PBE | relaxed

Values from the calculation:
raw formation energy = -0.48 eV/atom
size of the total moment = 10.04 μB per formula unit
Fermi-level density of states = 0.429 states/eV/atom
total DFT energy (no corrections) = -56.98 eV per cell

Unit cell a=7.0644 b=7.0644 c=7.8120 alpha=98.73 beta=98.73 gamma=120.04
With the nearest neighbours (Å) after each atom.
Element x y z (fractional)
Na  0.5000  0.5000  0.5000  6 Te 3.22-3.26
Na  0.8350  0.1650  0.5000  6 Te 3.23-3.26
Na  0.1650  0.8350  0.5000  6 Te 3.23-3.26
Te  0.4048  0.0668  0.1999  2 Cr 2.77, 1 Mn 2.81
Te  0.2720  0.2720  0.7995  2 Cr 2.77, 1 Mn 2.82
Te  0.5952  0.9332  0.8001  2 Cr 2.77, 1 Mn 2.81
Te  0.7280  0.7280  0.2005  2 Cr 2.77, 1 Mn 2.82
Te  0.9332  0.5952  0.8001  2 Cr 2.77, 1 Mn 2.81
Te  0.0668  0.4048  0.1999  2 Cr 2.77, 1 Mn 2.81
Cr  0.3334  0.6666  0.0000  6 Te 2.77
Cr  0.6666  0.3334  0.0000  6 Te 2.77
Mn  0.0000  0.0000  0.0000  6 Te 2.81-2.82

# 6
Na2MnCrTe4 | PBE | relaxed

Values from the calculation:
raw formation energy = -0.47 eV/atom
size of the total moment = 7.01 μB per formula unit
Fermi-level density of states = 0.341 states/eV/atom
total DFT energy (no corrections) = -37.78 eV per cell

Unit cell a=4.0832 b=7.0505 c=7.8415 alpha=107.59 beta=90.00 gamma=90.00
With the nearest neighbours (Å) after each atom.
Element x y z (fractional)
Te  0.5000  0.2388  0.2016  1 Cr 2.77, 2 Mn 2.81
Te  0.5000  0.7612  0.7984  1 Cr 2.77, 2 Mn 2.81
Te  0.0000  0.7283  0.1994  2 Cr 2.77, 1 Mn 2.82
Te  0.0000  0.2717  0.8006  2 Cr 2.77, 1 Mn 2.82
Na  0.5000  0.0000  0.5000  6 Te 3.27
Na  0.0000  0.5000  0.5000  6 Te 3.23
Mn  0.0000  0.0000  0.0000  6 Te 2.81-2.82
Cr  0.5000  0.5000  0.0000  6 Te 2.77

# 7
MnNbCr2 | PBE | relaxed

Values from the calculation:
energy relative to the elements = 612 meV/atom
size of the total moment = 0.00 μB per formula unit
Fermi-level density of states = 1.265 states/eV/atom
total DFT energy (no corrections) = -72.08 eV per cell

Unit cell a=6.6460 b=6.6460 c=5.3360 alpha=51.48 beta=51.48 gamma=90.00
With the nearest neighbours (Å) after each atom.
Element x y z (fractional)
Nb  0.7500  0.2500  0.5000  2 Mn 2.53, 4 Cr 2.62
Nb  0.0000  0.0000  0.0000  2 Mn 2.53, 4 Cr 2.62
Cr  0.8750  0.8363  0.7500  2 Mn 2.27
Cr  0.3750  0.4137  0.7500  2 Mn 2.27
Cr  0.1637  0.6250  0.2500  2 Mn 2.27
Cr  0.5863  0.1250  0.2500  2 Mn 2.27
Mn  0.2500  0.7500  0.5000  4 Cr 2.27, 2 Nb 2.53
Mn  0.5000  0.5000  0.0000  4 Cr 2.27, 2 Nb 2.53

# 8
MnNb2Cr3 | PBE | relaxed

Values from the calculation:
energy relative to the elements = -72 meV/atom
size of the total moment = 0.01 μB per formula unit
Fermi-level density of states = 1.368 states/eV/atom
total DFT energy (no corrections) = -58.61 eV per cell

Unit cell a=4.8736 b=4.8736 c=4.9121 alpha=90.05 beta=119.72 gamma=119.96
With the nearest neighbours (Å) after each atom.
Element x y z (fractional)
Nb  0.7478  0.3740  0.1218  3 Mn 2.86, 9 Cr 2.87, 4 Nb 2.98-3.05
Nb  0.2522  0.6260  0.8782  3 Mn 2.86, 9 Cr 2.87, 4 Nb 2.98-3.05
Cr  0.5000  0.0000  0.5000  4 Cr 2.44, 2 Mn 2.46
Cr  0.5000  0.5000  0.5000  4 Cr 2.44, 2 Mn 2.46
Cr  0.0000  0.0000  0.5000  4 Cr 2.44, 2 Mn 2.46
Mn  0.0000  0.0000  0.0000  6 Cr 2.46

# 9
MnNb2Cr | PBE | relaxed

Values from the calculation:
energy relative to the elements = 643 meV/atom
size of the total moment = 0.00 μB per formula unit
Fermi-level density of states = 1.176 states/eV/atom
total DFT energy (no corrections) = -72.72 eV per cell

Unit cell a=6.8189 b=6.8189 c=5.5223 alpha=51.87 beta=51.87 gamma=90.00
With the nearest neighbours (Å) after each atom.
Element x y z (fractional)
Mn  0.7500  0.2500  0.5000  4 Nb 2.46, 2 Cr 2.69
Mn  0.0000  0.0000  0.0000  4 Nb 2.46, 2 Cr 2.69
Nb  0.3750  0.3659  0.7500  2 Mn 2.46, 2 Cr 2.55, 2 Nb 2.69
Nb  0.8750  0.8841  0.7500  2 Mn 2.46, 2 Cr 2.55, 2 Nb 2.69
Nb  0.1159  0.6250  0.2500  2 Mn 2.46, 2 Cr 2.55, 2 Nb 2.69
Nb  0.6341  0.1250  0.2500  2 Mn 2.46, 2 Cr 2.55, 2 Nb 2.69
Cr  0.5000  0.5000  0.0000  4 Nb 2.55, 2 Mn 2.69
Cr  0.2500  0.7500  0.5000  4 Nb 2.55, 2 Mn 2.69

# 10
Mn2Nb3Cr | PBE | relaxed

Values from the calculation:
energy relative to the elements = -67 meV/atom
size of the total moment = 0.45 μB per formula unit
Fermi-level density of states = 0.762 states/eV/atom
total DFT energy (no corrections) = -58.57 eV per cell

Unit cell a=3.0807 b=3.0807 c=9.2642 alpha=90.00 beta=90.00 gamma=90.00
With the nearest neighbours (Å) after each atom.
Element x y z (fractional)
Nb  0.0000  0.0000  0.6679  4 Mn 2.68, 4 Cr 2.68
Nb  0.0000  0.0000  0.3321  4 Mn 2.68, 4 Cr 2.68
Nb  0.0000  0.0000  0.0000  8 Mn 2.66
Mn  0.5000  0.5000  0.8355  8 Nb 2.66-2.68
Mn  0.5000  0.5000  0.1645  8 Nb 2.66-2.68
Cr  0.5000  0.5000  0.5000  8 Nb 2.68

# 11
MnNb2Cr | PBE | relaxed

Values from the calculation:
energy relative to the elements = -42 meV/atom
size of the total moment = 0.00 μB per formula unit
Fermi-level density of states = 1.010 states/eV/atom
total DFT energy (no corrections) = -39.10 eV per cell

Unit cell a=4.3662 b=4.3662 c=4.3662 alpha=60.00 beta=60.00 gamma=60.00
With the nearest neighbours (Å) after each atom.
Element x y z (fractional)
Nb  0.2500  0.2500  0.2500  4 Cr 2.67, 4 Mn 2.67
Nb  0.7500  0.7500  0.7500  4 Cr 2.67, 4 Mn 2.67
Mn  0.5000  0.5000  0.5000  8 Nb 2.67
Cr  0.0000  0.0000  0.0000  8 Nb 2.67

# 12
MnNbCr | PBE | relaxed

Values from the calculation:
energy relative to the elements = -99 meV/atom
size of the total moment = 0.99 μB per formula unit
Fermi-level density of states = 1.240 states/eV/atom
total DFT energy (no corrections) = -58.32 eV per cell

Unit cell a=4.8726 b=4.8726 c=4.8726 alpha=90.60 beta=120.72 gamma=118.60
With the nearest neighbours (Å) after each atom.
Element x y z (fractional)
Cr  0.5000  0.5000  0.5000  2 Cr 2.41, 4 Mn 2.44
Cr  0.0000  0.5000  0.0000  2 Cr 2.41, 4 Mn 2.44
Nb  0.2500  0.1264  0.8764  6 Cr 2.83-2.90, 6 Mn 2.84-2.86, 4 Nb 2.97-3.01
Nb  0.7500  0.8736  0.1236  6 Cr 2.83-2.90, 6 Mn 2.84-2.86, 4 Nb 2.97-3.01
Mn  0.5000  0.0000  0.5000  4 Cr 2.44, 2 Mn 2.49
Mn  0.0000  0.5000  0.5000  4 Cr 2.44, 2 Mn 2.49

# 13
MnNbCr2 | PBE | relaxed

Values from the calculation:
energy relative to the elements = 110 meV/atom
size of the total moment = 0.01 μB per formula unit
Fermi-level density of states = 0.745 states/eV/atom
total DFT energy (no corrections) = -38.05 eV per cell

Unit cell a=3.0189 b=3.0189 c=5.9965 alpha=90.00 beta=90.00 gamma=90.00
With the nearest neighbours (Å) after each atom.
Element x y z (fractional)
Nb  0.5000  0.5000  0.5000  8 Cr 2.66
Cr  0.0000  0.0000  0.2361  4 Mn 2.56, 4 Nb 2.66, 1 Cr 2.83
Cr  0.0000  0.0000  0.7639  4 Mn 2.56, 4 Nb 2.66, 1 Cr 2.83
Mn  0.5000  0.5000  0.0000  8 Cr 2.56

# 14
Mn3NbCr | PBE | relaxed

Values from the calculation:
energy relative to the elements = 1798 meV/atom
size of the total moment = 8.63 μB per formula unit
Fermi-level density of states = 1.529 states/eV/atom
total DFT energy (no corrections) = -38.21 eV per cell

Unit cell a=4.5897 b=4.5897 c=4.5897 alpha=90.00 beta=90.00 gamma=90.00
With the nearest neighbours (Å) after each atom.
Element x y z (fractional)
Mn  0.5000  0.0000  0.0000  2 Nb 2.29
Mn  0.0000  0.5000  0.0000  2 Nb 2.29
Mn  0.0000  0.0000  0.5000  2 Nb 2.29
Cr  0.5000  0.5000  0.5000  12 Mn 3.25
Nb  0.0000  0.0000  0.0000  6 Mn 2.29

# 15
MnNbCr | PBE | relaxed

Values from the calculation:
energy relative to the elements = 87 meV/atom
size of the total moment = 0.00 μB per formula unit
Fermi-level density of states = 0.942 states/eV/atom
total DFT energy (no corrections) = -28.60 eV per cell

Unit cell a=3.0114 b=3.0114 c=4.9899 alpha=107.56 beta=107.56 gamma=90.00
With the nearest neighbours (Å) after each atom.
Element x y z (fractional)
Cr  0.2747  0.2747  0.5494  4 Mn 2.52, 4 Nb 2.66
Nb  0.9507  0.9507  0.9014  5 Mn 2.64-2.94, 5 Cr 2.66-2.92
Mn  0.6246  0.6246  0.2491  4 Cr 2.52, 4 Nb 2.64

# 16
MnNb2Cr | PBE | relaxed

Values from the calculation:
energy relative to the elements = 805 meV/atom
size of the total moment = 0.62 μB per formula unit
Fermi-level density of states = 1.134 states/eV/atom
total DFT energy (no corrections) = -35.71 eV per cell

Unit cell a=5.7838 b=5.7838 c=5.7838 alpha=55.23 beta=150.44 gamma=134.46
With the nearest neighbours (Å) after each atom.
Element x y z (fractional)
Nb  0.0000  0.7511  0.7511  1 Cr 2.55, 1 Mn 2.57, 4 Nb 2.68
Nb  0.0000  0.2489  0.2489  1 Cr 2.55, 1 Mn 2.57, 4 Nb 2.68
Mn  0.0000  0.5000  0.5000  2 Nb 2.57, 4 Cr 2.68
Cr  0.0000  0.0000  0.0000  2 Nb 2.55, 4 Mn 2.68

# 17
Mn8Nb3Cr | PBE | relaxed

Values from the calculation:
energy relative to the elements = -67 meV/atom
size of the total moment = 0.55 μB per formula unit
Fermi-level density of states = 1.548 states/eV/atom
total DFT energy (no corrections) = -114.00 eV per cell

Unit cell a=4.7755 b=4.7755 c=8.3000 alpha=73.28 beta=73.28 gamma=60.00
With the nearest neighbours (Å) after each atom.
Element x y z (fractional)
Mn  0.9384  0.9384  0.6832  6 Mn 2.37-2.41
Mn  0.9384  0.4399  0.6832  6 Mn 2.37-2.41
Mn  0.1874  0.1874  0.4377  6 Mn 2.37-2.38
Mn  0.4372  0.9343  0.1913  6 Mn 2.37-2.42
Mn  0.9343  0.4372  0.1913  6 Mn 2.37-2.42
Mn  0.4399  0.9384  0.6832  6 Mn 2.37-2.41
Mn  0.4372  0.4372  0.1913  6 Mn 2.37-2.42
Mn  0.6879  0.6879  0.9364  6 Mn 2.41-2.42
Nb  0.5017  0.5017  0.4948  12 Mn 2.74-2.81, 3 Cr 2.91, 1 Nb 2.98
Nb  0.9973  0.9973  0.0080  12 Mn 2.79-2.89, 1 Cr 2.87, 3 Nb 2.95
Nb  0.3750  0.3750  0.8750  12 Mn 2.80-2.84, 4 Nb 2.95-2.98
Cr  0.8752  0.8752  0.3746  12 Mn 2.78-2.80, 4 Nb 2.87-2.91

# 18
MnNbCr | PBE | relaxed

Values from the calculation:
energy relative to the elements = 125 meV/atom
size of the total moment = 0.48 μB per formula unit
Fermi-level density of states = 0.892 states/eV/atom
total DFT energy (no corrections) = -56.98 eV per cell

Unit cell a=4.1619 b=4.3016 c=5.0438 alpha=90.00 beta=114.37 gamma=90.00
With the nearest neighbours (Å) after each atom.
Element x y z (fractional)
Nb  0.0866  0.7500  0.1732  4 Cr 2.57-2.62, 2 Mn 2.66, 2 Nb 2.68
Nb  0.9134  0.2500  0.8268  4 Cr 2.57-2.62, 2 Mn 2.66, 2 Nb 2.68
Mn  0.5944  0.2500  0.1888  4 Cr 2.52-2.59, 2 Nb 2.66, 2 Mn 2.76
Mn  0.4056  0.7500  0.8112  4 Cr 2.52-2.59, 2 Nb 2.66, 2 Mn 2.76
Cr  0.2487  0.2500  0.4975  4 Mn 2.52-2.59, 4 Nb 2.57-2.62
Cr  0.7513  0.7500  0.5025  4 Mn 2.52-2.59, 4 Nb 2.57-2.62

# 19
Mn2NbCr | PBE | relaxed

Values from the calculation:
energy relative to the elements = 67 meV/atom
size of the total moment = 0.68 μB per formula unit
Fermi-level density of states = 0.966 states/eV/atom
total DFT energy (no corrections) = -37.77 eV per cell

Unit cell a=2.9756 b=4.1807 c=4.1807 alpha=90.00 beta=90.00 gamma=90.00
With the nearest neighbours (Å) after each atom.
Element x y z (fractional)
Cr  0.5000  0.5000  0.5000  8 Mn 2.57
Mn  0.0000  0.5000  0.0000  4 Cr 2.57, 4 Nb 2.57
Mn  0.0000  0.0000  0.5000  4 Nb 2.57, 4 Cr 2.57
Nb  0.5000  0.0000  0.0000  8 Mn 2.57

# 20
MnNbCr2 | PBE | relaxed

Values from the calculation:
energy relative to the elements = 94 meV/atom
size of the total moment = 0.12 μB per formula unit
Fermi-level density of states = 0.582 states/eV/atom
total DFT energy (no corrections) = -38.11 eV per cell

Unit cell a=3.0288 b=4.2411 c=4.2411 alpha=90.00 beta=90.00 gamma=90.00
With the nearest neighbours (Å) after each atom.
Element x y z (fractional)
Mn  0.5000  0.0000  0.0000  8 Cr 2.61
Cr  0.0000  0.0000  0.5000  4 Nb 2.61, 4 Mn 2.61
Cr  0.0000  0.5000  0.0000  4 Nb 2.61, 4 Mn 2.61
Nb  0.5000  0.5000  0.5000  8 Cr 2.61